A relaxed Pm2Ga3Pd4Au crystal, computed with PBE.

Values from the calculation:
For the total moment, the calculation gives 0.00 μB per formula unit. The formation energy is -749 meV/atom.

Cell: 4.074 4.074 11.760 Å, 90.00 90.00 90.00°
Space group P-4m2 (No. 115)
Inequivalent atoms, fractional coordinates:
1 Pm 0.000 0.500 0.241 [2 per cell]
2 Ga 0.000 0.000 0.000 [1 per cell]
3 Ga 0.000 0.500 0.628 [2 per cell]
4 Pd 0.000 0.000 0.500 [1 per cell]
5 Pd 0.000 0.500 0.840 [2 per cell]
6 Pd 0.500 0.500 0.500 [1 per cell]
7 Au 0.500 0.500 0.000 [1 per cell]

---

A relaxed PmGa2PdAu crystal, computed with PBE.

Values from the calculation:
For the total moment, the calculation gives 0.00 μB per formula unit. The formation energy is -688 meV/atom.

Cell: 4.408 4.408 10.266 Å, 90.00 90.00 90.00°
Space group I-4m2 (No. 119)
Inequivalent atoms, fractional coordinates:
1 Pm 0.000 0.000 0.000 [2 per cell]
2 Ga 0.000 0.000 0.378 [4 per cell]
3 Pd 0.000 0.500 0.750 [2 per cell]
4 Au 0.000 0.500 0.250 [2 per cell]

---

A relaxed Pr2Ga4Pd3Au crystal, computed with PBE.

Values from the calculation:
For the total moment, the calculation gives 0.00 μB per formula unit. The formation energy is -764 meV/atom.

Cell: 4.340 4.340 10.585 Å, 90.00 90.00 90.00°
Space group P-4m2 (No. 115)
Inequivalent atoms, fractional coordinates:
1 Pr 0.000 0.500 0.242 [2 per cell]
2 Ga 0.000 0.000 0.000 [1 per cell]
3 Ga 0.000 0.500 0.636 [2 per cell]
4 Ga 0.500 0.500 0.000 [1 per cell]
5 Pd 0.000 0.500 0.871 [2 per cell]
6 Pd 0.500 0.500 0.500 [1 per cell]
7 Au 0.000 0.000 0.500 [1 per cell]